Record 1
Here is an optimized crystal structure of MnTl2GeSe4 from Alexandria via LeMat-Bulk. Energies are from PBE.

- Symmetry: No. 70
- ΔE_f (raw): -0.357 eV per atom
- E_tot: -70.6 eV/cell

Unit cell a=6.2061 b=7.3388 c=12.9369 alpha=84.18 beta=76.12 gamma=64.99
Last column: magnetic moment on the atom in μB.
Sites, in units of the cell vectors:
Se  0.1769  0.2897  0.3953  0.05
Se  0.5731  0.2103  0.1047  0.05
Se  0.3222  0.7897  0.1047  0.05
Tl  0.8027  0.0000  0.3945  0.01
Ge  0.5000  0.0000  0.0000  0.02
Tl  0.1973  0.0000  0.6055  0.01
Se  0.8881  0.7897  0.8953  0.05
Mn  0.7500  0.5000  0.5000  4.14
Tl  0.5527  0.5000  0.8945  0.01
Mn  0.0000  0.0000  0.0000  4.14
Se  0.5334  0.2897  0.6047  0.05
Se  0.4278  0.7103  0.3953  0.05
Ge  0.2500  0.5000  0.5000  0.02
Se  0.8619  0.7103  0.6047  0.05
Tl  0.9473  0.5000  0.1055  0.01
Se  0.2166  0.2103  0.8953  0.05

***

Record 2
Here is an optimized crystal structure of ZnSi3Br from Alexandria via LeMat-Bulk. Energies are from PBE.

- Symmetry: No. 221
- ΔE_f (raw): 0.964 eV per atom
- E_tot: -14.4 eV/cell
- E above lowest polymorph: 0 meV/atom

Unit cell a=4.8207 b=4.8207 c=4.8207 alpha=90.00 beta=90.00 gamma=90.00
Last column: magnetic moment on the atom in μB.
Sites, in units of the cell vectors:
Zn  0.0000  0.0000  0.0000  0.02
Si  0.0000  0.5000  0.0000  0.06
Si  0.0000  0.0000  0.5000  0.04
Si  0.5000  0.0000  0.0000  0.05
Br  0.5000  0.5000  0.5000  0.06

***

Record 3
Here is an optimized crystal structure of PrIn2P2Pt7 from Alexandria via LeMat-Bulk. Energies are from PBE.

- Symmetry: No. 12
- E_tot: -70.2 eV/cell
- Energy of formation from the pure elements: -566 meV/atom

Unit cell a=3.9939 b=3.9939 c=15.4250 alpha=81.22 beta=81.22 gamma=90.08
Sites, in units of the cell vectors:
In  0.2338  0.2338  0.5761
Pt  0.2843  0.2843  0.3901
Pt  0.7157  0.7157  0.6099
Pr  0.0000  0.0000  0.0000
P  0.3588  0.3588  0.2399
Pt  0.4094  0.9092  0.1548
Pt  0.9092  0.4094  0.1548
Pt  0.5906  0.0908  0.8452
P  0.6412  0.6412  0.7601
Pt  0.0908  0.5906  0.8452
Pt  0.5000  0.5000  0.0000
In  0.7662  0.7662  0.4239

***

Record 4
Here is an optimized crystal structure of NpSc5 from Alexandria via LeMat-Bulk. Energies are from PBE.

- Symmetry: No. 65
- E_tot: -42.0 eV/cell
- Energy of formation from the pure elements: 432 meV/atom

Unit cell a=5.4022 b=3.1551 c=8.7687 alpha=100.36 beta=90.00 gamma=90.00
Last column: magnetic moment on the atom in μB.
Sites, in units of the cell vectors:
Sc  0.0000  0.8258  0.6517  0.18
Np  0.0000  0.0000  0.0000  4.16
Sc  0.0000  0.1742  0.3483  0.18
Sc  0.5000  0.6746  0.3491  0.03
Sc  0.5000  0.5000  0.0000  0.11
Sc  0.5000  0.3254  0.6509  0.03

***

Record 5
Here is an optimized crystal structure of Ca4Np3ScN8 from Alexandria via LeMat-Bulk. Energies are from PBE.

- Symmetry: No. 166
- ΔE_f (raw): -1.246 eV per atom
- E_tot: -139.7 eV/cell

Unit cell a=6.8693 b=6.9188 c=6.8697 alpha=119.75 beta=120.00 gamma=90.00
Last column: magnetic moment on the atom in μB.
Sites, in units of the cell vectors:
N  0.7604  0.2882  0.0277  -0.11
Ca  0.5000  0.0000  0.0000  0.04
Ca  0.0000  0.0000  0.5000  0.03
Sc  0.0000  0.5000  0.0000  0.09
Ca  0.5000  0.0000  0.5000  0.03
Ca  0.0000  0.0000  0.0000  0.03
Np  0.5000  0.5000  0.5000  2.73
N  0.2602  0.2805  0.5203  -0.12
Np  0.5000  0.5000  0.0000  2.73
Np  0.0000  0.5000  0.5000  2.73
N  0.7605  0.2884  0.5209  -0.11
N  0.2673  0.2882  0.0277  -0.11
N  0.2395  0.7116  0.4791  -0.11
N  0.7327  0.7118  0.9723  -0.11
N  0.7398  0.7195  0.4797  -0.12
N  0.2396  0.7118  0.9723  -0.11

***

Record 6
Here is an optimized crystal structure of LiCaMo2As from Alexandria via LeMat-Bulk. Energies are from PBE.

- Symmetry: No. 123
- E_tot: -20.0 eV/cell
- Energy of formation from the pure elements: 2038 meV/atom
- E above lowest polymorph: 1110 meV/atom

Unit cell a=4.8052 b=3.9464 c=4.8052 alpha=90.00 beta=90.00 gamma=90.00
Sites, in units of the cell vectors:
Li  0.0000  0.5000  0.0000
Ca  0.0000  0.0000  0.0000
Mo  0.0000  0.0000  0.5000
Mo  0.5000  0.0000  0.0000
As  0.5000  0.5000  0.5000